No. 1
YZnCu2Au4 | PBE | relaxed

Magnetic moment, μB per formula unit: 0.00
DOS at the Fermi energy, states/eV/cell: 3.28
Formation energy, eV/f.u.: -2.520
Crystal system: trigonal

```
YZnCu2Au4
1.0
4.628 0.000 0.000
2.314 4.008 0.000
2.314 1.336 7.575
Au Cu Y Zn
4 2 1 1
direct
0.613 0.613 0.161
0.387 0.387 0.839
0.133 0.133 0.601
0.867 0.867 0.399
0.745 0.745 0.766
0.255 0.255 0.234
0.000 0.000 0.000
0.500 0.500 0.500
```

No. 2
YZn2CuAu4 | PBE | relaxed

Magnetic moment, μB per formula unit: 0.00
DOS at the Fermi energy, states/eV/cell: 3.70
Formation energy, eV/f.u.: -3.005
Crystal system: trigonal

```
YZn2CuAu4
1.0
4.429 0.000 0.000
2.214 3.835 0.000
2.214 1.278 8.628
Y Zn Au Cu
1 2 4 1
direct
0.000 0.000 0.000
0.240 0.240 0.279
0.760 0.760 0.721
0.604 0.604 0.189
0.131 0.131 0.607
0.396 0.396 0.811
0.869 0.869 0.393
0.500 0.500 0.500
```

No. 3
Y2Zn12Cu3Au | PBE | relaxed

Magnetic moment, μB per formula unit: 0.00
DOS at the Fermi energy, states/eV/cell: 7.37
Formation energy, eV/f.u.: -1.036
Crystal system: trigonal

```
Y2Zn12Cu3Au
1.0
6.484 -1.552 -1.101
1.852 6.404 -1.101
1.852 1.078 6.408
Zn Au Cu Y
12 1 3 2
direct
0.289 0.801 0.801
0.155 0.571 0.571
0.199 0.711 0.199
0.801 0.801 0.289
0.571 0.155 0.571
0.429 0.845 0.429
0.845 0.429 0.429
0.801 0.289 0.801
0.571 0.571 0.155
0.429 0.429 0.845
0.199 0.199 0.711
0.711 0.199 0.199
0.000 0.000 0.000
0.000 0.000 0.500
0.500 0.000 0.000
0.000 0.500 0.000
0.247 0.247 0.247
0.753 0.753 0.753
```

No. 4
ZnCuAu6 | PBE | relaxed

Magnetic moment, μB per formula unit: 0.00
DOS at the Fermi energy, states/eV/cell: 4.13
Formation energy, eV/f.u.: -0.483
Crystal system: orthorhombic

```
ZnCuAu6
1.0
-1.500 3.516 0.533
-5.243 -2.442 1.361
1.580 -0.194 5.724
Au Zn Cu
6 1 1
direct
0.500 0.500 0.000
0.000 0.251 0.251
0.000 0.253 0.747
0.000 0.747 0.253
0.500 0.000 0.500
0.000 0.749 0.749
0.500 0.000 0.000
0.500 0.500 0.500
```

No. 5
Zn3Cu7Au2 | PBE | relaxed

Magnetic moment, μB per formula unit: 0.00
DOS at the Fermi energy, states/eV/cell: 2.93
Formation energy, eV/f.u.: 0.007
Crystal system: monoclinic

```
Zn3Cu7Au2
1.0
2.765 0.000 0.000
0.000 4.064 -0.590
0.000 0.742 15.054
Cu Zn Au
7 3 2
direct
0.500 0.735 0.457
0.500 0.146 0.153
0.500 0.854 0.847
0.000 0.000 0.000
0.000 0.358 0.865
0.500 0.265 0.543
0.000 0.642 0.135
0.000 0.211 0.388
0.500 0.500 0.000
0.000 0.789 0.612
0.500 0.321 0.715
0.500 0.679 0.285
```

No. 6
Zn2Cu12Au | PBE | relaxed

Magnetic moment, μB per formula unit: 0.00
DOS at the Fermi energy, states/eV/cell: 12.99
Formation energy, eV/f.u.: 2.826
Crystal system: tetragonal

```
Zn2Cu12Au
1.0
-2.148 -4.322 0.263
2.640 -1.540 -3.745
12.810 -5.674 11.366
Cu Zn Au
24 4 2
direct
0.176 0.324 0.439
0.250 0.250 0.887
0.500 0.500 0.213
0.250 0.750 0.113
0.324 0.824 0.439
0.750 0.750 0.887
0.750 0.750 0.113
0.000 0.000 0.343
0.176 0.676 0.561
0.250 0.750 0.887
0.676 0.824 0.561
0.324 0.176 0.561
0.824 0.324 0.561
0.750 0.250 0.113
0.676 0.176 0.439
0.500 0.500 0.787
0.000 0.000 0.213
0.500 0.500 0.657
0.824 0.676 0.439
0.000 0.000 0.787
0.500 0.500 0.343
0.750 0.250 0.887
0.250 0.250 0.113
0.000 0.000 0.657
0.000 0.500 0.720
0.500 0.000 0.280
0.000 0.500 0.280
0.500 0.000 0.720
0.500 0.000 0.000
0.000 0.500 0.000
```

No. 7
Zn4Cu7Au | PBE | relaxed

Magnetic moment, μB per formula unit: 0.00
DOS at the Fermi energy, states/eV/cell: 3.82
Formation energy, eV/f.u.: 1.458
Crystal system: monoclinic

```
Zn4Cu7Au
1.0
-3.354 1.400 -2.927
-6.268 -5.508 0.827
-3.394 3.504 1.845
Zn Cu Au
4 7 1
direct
0.275 0.311 0.140
0.617 0.224 0.542
0.725 0.689 0.860
0.383 0.776 0.458
0.961 0.381 0.697
0.039 0.619 0.303
0.500 0.000 0.000
0.209 0.089 0.492
0.354 0.521 0.771
0.646 0.479 0.229
0.791 0.911 0.508
0.000 0.000 0.000
```

No. 8
Zn5CuAu3 | PBE | relaxed

Magnetic moment, μB per formula unit: 0.00
DOS at the Fermi energy, states/eV/cell: 3.19
Formation energy, eV/f.u.: -0.805
Crystal system: orthorhombic

```
Zn5CuAu3
1.0
-3.796 -1.419 -3.407
-0.183 -7.261 3.227
-3.065 6.560 4.798
Zn Au Cu
10 6 2
direct
0.069 0.585 0.686
0.382 0.899 0.314
0.500 0.500 0.000
0.118 0.085 0.686
0.931 0.415 0.314
0.000 0.000 0.000
0.569 0.601 0.686
0.431 0.399 0.314
0.618 0.101 0.686
0.882 0.915 0.314
0.051 0.330 0.000
0.250 0.250 0.500
0.449 0.830 0.000
0.750 0.750 0.500
0.551 0.170 0.000
0.949 0.670 0.000
0.250 0.750 0.500
0.750 0.250 0.500
```

No. 9
Zn8CuAu6 | PBE | relaxed

Magnetic moment, μB per formula unit: 0.00
DOS at the Fermi energy, states/eV/cell: 5.03
Formation energy, eV/f.u.: -2.292
Crystal system: trigonal

```
Zn8CuAu6
1.0
7.592 0.000 0.000
3.796 6.575 0.000
3.796 2.192 5.374
Au Zn Cu
6 8 1
direct
0.723 0.388 0.834
0.277 0.612 0.166
0.946 0.277 0.166
0.388 0.054 0.834
0.054 0.723 0.834
0.612 0.946 0.166
0.554 0.212 0.354
0.119 0.446 0.646
0.788 0.119 0.646
0.212 0.881 0.354
0.665 0.665 0.005
0.881 0.554 0.354
0.335 0.335 0.995
0.446 0.788 0.646
0.000 0.000 0.000
```

No. 10
Zn2Cu8Au | PBE | relaxed

Magnetic moment, μB per formula unit: 0.00
DOS at the Fermi energy, states/eV/cell: 3.20
Formation energy, eV/f.u.: 0.860
Crystal system: monoclinic

```
Zn2Cu8Au
1.0
-1.650 2.721 3.186
-5.513 -1.528 3.840
0.686 -3.286 5.858
Cu Zn Au
8 2 1
direct
0.137 0.673 0.232
0.863 0.095 0.232
0.500 0.779 0.442
0.309 0.429 0.000
0.137 0.905 0.768
0.691 0.571 0.000
0.863 0.327 0.768
0.500 0.221 0.558
0.000 0.691 0.619
0.000 0.309 0.381
0.500 0.000 0.000
```

No. 11
Zn2Cu4Au5 | PBE | relaxed

Magnetic moment, μB per formula unit: 0.00
DOS at the Fermi energy, states/eV/cell: 3.69
Formation energy, eV/f.u.: -0.112
Crystal system: monoclinic

```
Zn2Cu4Au5
1.0
-1.705 2.145 -0.717
0.353 -1.870 -6.437
-6.512 -6.226 2.453
Au Cu Zn
5 4 2
direct
0.836 0.051 0.671
0.094 0.310 0.189
0.164 0.949 0.329
0.500 0.000 0.000
0.906 0.690 0.811
0.046 0.671 0.092
0.340 0.389 0.679
0.660 0.611 0.321
0.954 0.329 0.908
0.276 0.713 0.552
0.724 0.287 0.448
```

No. 12
Zn3Cu4Au4 | PBE | relaxed

Magnetic moment, μB per formula unit: 0.00
DOS at the Fermi energy, states/eV/cell: 2.99
Formation energy, eV/f.u.: -1.289
Crystal system: triclinic

```
Zn3Cu4Au4
1.0
-2.749 -0.371 0.751
-0.620 -1.712 -3.050
5.414 -12.878 8.192
Zn Cu Au
3 4 4
direct
0.633 0.636 0.272
0.000 0.000 0.000
0.367 0.364 0.728
0.092 0.096 0.192
0.270 0.269 0.537
0.908 0.904 0.808
0.730 0.731 0.463
0.453 0.451 0.903
0.182 0.184 0.367
0.818 0.817 0.633
0.547 0.549 0.097
```

Question: Among the records above, which one has the lowest DOS at the Fermi energy?
Answer: Zn3Cu7Au2

Question: Which formula does entry 4 have?
Answer: ZnCuAu6